# 1
Below is a crystal of CsNaTe relaxed with PBEsol, with properties calculated at the SCAN level.

Lattice parameters (Å, degrees): 5.238 5.238 8.535 90.00 90.00 90.00
Atoms (fractional coordinates):
Cs  0.250  0.250  0.156
Cs  0.750  0.750  0.844
Na  0.250  0.750  0.500
Na  0.750  0.250  0.500
Te  0.250  0.250  0.704
Te  0.750  0.750  0.296

Results
V ... 39.024 Å³ per atom
M_tot ... 0.00 μB/cell
E_form (uncorrected) ... -1.19 eV per atom



# 2
Below is a crystal of CaTaRh2 relaxed with PBEsol, with properties calculated at the SCAN level.

Lattice parameters (Å, degrees): 8.173 8.173 8.173 23.24 23.24 23.24
Atoms (fractional coordinates):
Ca  0.000  0.000  0.000
Ta  0.500  0.500  0.500
Rh  0.238  0.238  0.238
Rh  0.762  0.762  0.762

Results
Calculated formation energy ... -0.893 eV/f.u.
V ... 18.659 Å³ per atom
M_tot ... 0.00 μB/cell



# 3
Below is a crystal of TlCuCl relaxed with PBEsol, with properties calculated at the SCAN level.

Lattice parameters (Å, degrees): 4.572 4.572 4.572 60.00 60.00 60.00
Atoms (fractional coordinates):
Tl  0.000  0.000  0.000
Cu  0.250  0.250  0.250
Cl  0.500  0.500  0.500

Results
V ... 22.523 Å³ per atom
M_tot ... 0.00 μB/cell
E_form (uncorrected) ... 0.04 eV per atom



# 4
Below is a crystal of Sn2HgPt2 relaxed with PBEsol, with properties calculated at the SCAN level.

Lattice parameters (Å, degrees): 7.667 7.667 7.667 150.33 150.33 42.45
Atoms (fractional coordinates):
Sn  0.121  0.121  0.000
Sn  0.879  0.879  0.000
Hg  0.500  0.500  0.000
Pt  0.250  0.750  0.500
Pt  0.750  0.250  0.500

Results
Calculated formation energy ... -0.984 eV/f.u.
V ... 22.031 Å³ per atom
M_tot ... 0.00 μB/cell



# 5
Below is a crystal of Tl3CrHg relaxed with PBEsol, with properties calculated at the SCAN level.

Lattice parameters (Å, degrees): 5.536 5.536 5.536 90.00 90.00 90.00
Atoms (fractional coordinates):
Tl  0.000  0.000  0.500
Tl  0.000  0.500  0.000
Tl  0.500  0.000  0.000
Cr  0.500  0.500  0.500
Hg  0.000  0.000  0.000

Results
Calculated formation energy ... 3.562 eV/f.u.
V ... 33.926 Å³ per atom
M_tot ... 5.06 μB/cell



# 6
Below is a crystal of TmAgP2Se6 relaxed with PBEsol, with properties calculated at the SCAN level.

Lattice parameters (Å, degrees): 6.493 6.493 13.485 90.00 90.00 120.00
Atoms (fractional coordinates):
Tm  0.000  0.000  0.250
Tm  0.000  0.000  0.750
Ag  0.333  0.667  0.250
Ag  0.667  0.333  0.750
P  0.333  0.667  0.666
P  0.333  0.667  0.834
P  0.667  0.333  0.166
P  0.667  0.333  0.334
Se  0.014  0.339  0.883
Se  0.014  0.675  0.617
Se  0.325  0.339  0.617
Se  0.325  0.986  0.883
Se  0.339  0.014  0.383
Se  0.339  0.325  0.117
Se  0.661  0.675  0.883
Se  0.661  0.986  0.617
Se  0.675  0.014  0.117
Se  0.675  0.661  0.383
Se  0.986  0.325  0.383
Se  0.986  0.661  0.117

Results
V ... 24.615 Å³ per atom
M_tot ... 0.00 μB/cell
E_form (uncorrected) ... -0.64 eV per atom



# 7
Below is a crystal of LaHfAsCl2 relaxed with PBEsol, with properties calculated at the SCAN level.

Lattice parameters (Å, degrees): 4.949 4.949 5.972 90.00 90.00 90.00
Atoms (fractional coordinates):
La  0.000  0.000  0.000
Hf  0.500  0.500  0.000
As  0.000  0.000  0.500
Cl  0.000  0.500  0.500
Cl  0.500  0.000  0.500

Results
V ... 29.258 Å³ per atom
M_tot ... 0.99 μB/cell
E_form (uncorrected) ... 0.36 eV per atom



# 8
Below is a crystal of Co2RePt relaxed with PBEsol, with properties calculated at the SCAN level.

Lattice parameters (Å, degrees): 4.449 4.449 2.624 90.00 90.00 107.38
Atoms (fractional coordinates):
Co  0.000  0.500  0.000
Co  0.500  0.000  0.000
Re  0.000  0.000  0.500
Pt  0.500  0.500  0.500

Results
Calculated formation energy ... 0.496 eV/f.u.
V ... 12.390 Å³ per atom
M_tot ... 2.88 μB/cell



# 9
Below is a crystal of Li2FeSi6O15 relaxed with PBEsol, with properties calculated at the SCAN level.

Lattice parameters (Å, degrees): 10.976 10.976 9.776 90.00 90.00 99.78
Atoms (fractional coordinates):
Li  0.007  0.493  0.250
Li  0.247  0.247  0.000
Li  0.253  0.253  0.500
Li  0.493  0.007  0.750
Li  0.507  0.993  0.250
Li  0.747  0.747  0.500
Li  0.753  0.753  0.000
Li  0.993  0.507  0.750
Fe  0.162  0.338  0.750
Fe  0.338  0.162  0.250
Fe  0.662  0.838  0.750
Fe  0.838  0.662  0.250
Si  0.023  0.752  0.503
Si  0.047  0.172  0.206
Si  0.076  0.707  0.048
Si  0.172  0.047  0.794
Si  0.207  0.576  0.548
Si  0.248  0.977  0.503
Si  0.252  0.523  0.003
Si  0.293  0.924  0.048
Si  0.328  0.453  0.294
Si  0.424  0.793  0.548
Si  0.453  0.328  0.706
Si  0.477  0.748  0.003
Si  0.523  0.252  0.997
Si  0.547  0.672  0.294
Si  0.576  0.207  0.452
Si  0.672  0.547  0.706
Si  0.707  0.076  0.952
Si  0.748  0.477  0.997
Si  0.752  0.023  0.497
Si  0.793  0.424  0.452
Si  0.828  0.953  0.206
Si  0.924  0.293  0.952
Si  0.953  0.828  0.794
Si  0.977  0.248  0.497
O  0.001  0.242  0.074
O  0.007  0.350  0.823
O  0.028  0.260  0.337
O  0.037  0.963  0.774
O  0.094  0.634  0.478
O  0.096  0.254  0.593
O  0.119  0.881  0.486
O  0.134  0.594  0.978
O  0.150  0.493  0.677
O  0.163  0.188  0.833
O  0.187  0.813  0.101
O  0.188  0.163  0.167
O  0.240  0.472  0.163
O  0.242  0.001  0.926
O  0.246  0.404  0.907
O  0.254  0.096  0.407
O  0.258  0.499  0.426
O  0.260  0.028  0.663
O  0.312  0.337  0.667
O  0.313  0.687  0.601
O  0.337  0.312  0.333
O  0.350  0.007  0.177
O  0.366  0.906  0.478
O  0.381  0.619  0.986
O  0.404  0.246  0.093
O  0.406  0.866  0.978
O  0.463  0.537  0.274
O  0.472  0.240  0.837
O  0.493  0.150  0.323
O  0.499  0.258  0.574
O  0.501  0.742  0.426
O  0.507  0.850  0.677
O  0.528  0.760  0.163
O  0.537  0.463  0.726
O  0.594  0.134  0.022
O  0.596  0.754  0.907
O  0.619  0.381  0.014
O  0.634  0.094  0.522
O  0.650  0.993  0.823
O  0.663  0.688  0.667
O  0.687  0.313  0.399
O  0.688  0.663  0.333
O  0.740  0.972  0.337
O  0.742  0.501  0.574
O  0.746  0.904  0.593
O  0.754  0.596  0.093
O  0.758  0.999  0.074
O  0.760  0.528  0.837
O  0.812  0.837  0.833
O  0.813  0.187  0.899
O  0.837  0.812  0.167
O  0.850  0.507  0.323
O  0.866  0.406  0.022
O  0.881  0.119  0.514
O  0.904  0.746  0.407
O  0.906  0.366  0.522
O  0.963  0.037  0.226
O  0.972  0.740  0.663
O  0.993  0.650  0.177
O  0.999  0.758  0.926

Results
V ... 12.090 Å³ per atom
M_tot ... 8.00 μB/cell
E_form (uncorrected) ... -2.73 eV per atom



# 10
Below is a crystal of TaPBr relaxed with PBEsol, with properties calculated at the SCAN level.

Lattice parameters (Å, degrees): 6.326 6.326 6.326 151.23 151.23 41.14
Atoms (fractional coordinates):
Ta  0.000  0.000  0.000
P  0.394  0.394  0.000
Br  0.653  0.653  0.000

Results
V ... 19.506 Å³ per atom
M_tot ... 0.00 μB/cell
E_form (uncorrected) ... -0.12 eV per atom



# 11
Below is a crystal of BaFe2Cl relaxed with PBEsol, with properties calculated at the SCAN level.

Lattice parameters (Å, degrees): 3.381 3.256 7.512 90.00 102.98 90.00
Atoms (fractional coordinates):
Ba  0.000  0.000  0.000
Fe  0.339  0.500  0.674
Fe  0.781  0.000  0.557
Cl  0.645  0.500  0.291

Results
V ... 20.146 Å³ per atom
M_tot ... 5.34 μB/cell
E_form (uncorrected) ... -0.15 eV per atom



# 12
Below is a crystal of CoSiMo relaxed with PBEsol, with properties calculated at the SCAN level.

Lattice parameters (Å, degrees): 7.369 4.717 4.717 60.98 90.00 90.00
Atoms (fractional coordinates):
Co  0.000  0.244  0.756
Co  0.000  0.756  0.244
Co  0.261  0.403  0.403
Co  0.739  0.403  0.403
Si  0.000  0.244  0.244
Si  0.500  0.063  0.570
Si  0.500  0.570  0.063
Si  0.500  0.571  0.571
Mo  0.186  0.734  0.734
Mo  0.316  0.067  0.067
Mo  0.684  0.067  0.067
Mo  0.814  0.734  0.734

Results
V ... 11.950 Å³ per atom
M_tot ... 0.00 μB/cell
E_form (uncorrected) ... -0.28 eV per atom



# 13
Below is a crystal of HfFeGe relaxed with PBEsol, with properties calculated at the SCAN level.

Lattice parameters (Å, degrees): 6.433 6.433 3.673 90.00 90.00 120.00
Atoms (fractional coordinates):
Hf  0.000  0.416  0.000
Hf  0.416  0.000  0.000
Hf  0.584  0.584  0.000
Fe  0.000  0.760  0.500
Fe  0.240  0.240  0.500
Fe  0.760  0.000  0.500
Ge  0.000  0.000  0.000
Ge  0.333  0.667  0.500
Ge  0.667  0.333  0.500

Results
Calculated formation energy ... -1.664 eV/f.u.
V ... 14.626 Å³ per atom
M_tot ... 2.06 μB/cell



# 14
Below is a crystal of RbScHg2Au relaxed with PBEsol, with properties calculated at the SCAN level.

Lattice parameters (Å, degrees): 5.396 5.396 6.669 90.00 90.00 90.00
Atoms (fractional coordinates):
Rb  0.000  0.000  0.000
Sc  0.000  0.000  0.500
Hg  0.000  0.500  0.500
Hg  0.500  0.000  0.500
Au  0.500  0.500  0.000

Results
Calculated formation energy ... 2.479 eV/f.u.
V ... 38.838 Å³ per atom
M_tot ... 1.33 μB/cell



# 15
Below is a crystal of Co3Ir relaxed with PBEsol, with properties calculated at the SCAN level.

Lattice parameters (Å, degrees): 4.361 4.361 4.338 100.57 100.57 34.22
Atoms (fractional coordinates):
Co  0.000  0.000  0.000
Co  0.252  0.252  0.761
Co  0.748  0.748  0.239
Ir  0.500  0.500  0.500

Results
Calculated formation energy ... 0.158 eV/f.u.
V ... 11.386 Å³ per atom
M_tot ... 6.20 μB/cell



# 16
Below is a crystal of Mg2CoOs relaxed with PBEsol, with properties calculated at the SCAN level.

Lattice parameters (Å, degrees): 4.329 4.329 4.329 60.00 60.00 60.00
Atoms (fractional coordinates):
Mg  0.000  0.000  0.000
Mg  0.250  0.250  0.250
Co  0.750  0.750  0.750
Os  0.500  0.500  0.500

Results
Calculated formation energy ... 0.625 eV/f.u.
V ... 14.340 Å³ per atom
M_tot ... 2.48 μB/cell



# 17
Below is a crystal of La5V3S6O7 relaxed with PBEsol, with properties calculated at the SCAN level.

Lattice parameters (Å, degrees): 3.772 17.736 10.067 90.00 90.00 90.00
Atoms (fractional coordinates):
La  0.250  0.087  0.086
La  0.250  0.250  0.732
La  0.250  0.413  0.086
La  0.250  0.635  0.532
La  0.250  0.865  0.532
La  0.750  0.135  0.468
La  0.750  0.365  0.468
La  0.750  0.587  0.914
La  0.750  0.750  0.268
La  0.750  0.913  0.914
V  0.250  0.055  0.746
V  0.250  0.445  0.746
V  0.250  0.750  0.813
V  0.750  0.250  0.187
V  0.750  0.555  0.254
V  0.750  0.945  0.254
S  0.250  0.012  0.352
S  0.250  0.250  0.037
S  0.250  0.250  0.355
S  0.250  0.488  0.352
S  0.250  0.630  0.147
S  0.250  0.870  0.147
S  0.750  0.130  0.853
S  0.750  0.370  0.853
S  0.750  0.512  0.648
S  0.750  0.750  0.645
S  0.750  0.750  0.963
S  0.750  0.988  0.648
O  0.250  0.128  0.610
O  0.250  0.372  0.610
O  0.250  0.502  0.897
O  0.250  0.649  0.789
O  0.250  0.750  0.405
O  0.250  0.851  0.789
O  0.250  0.998  0.897
O  0.750  0.002  0.103
O  0.750  0.149  0.211
O  0.750  0.250  0.595
O  0.750  0.351  0.211
O  0.750  0.498  0.103
O  0.750  0.628  0.390
O  0.750  0.872  0.390

Results
V ... 16.037 Å³ per atom
M_tot ... 8.01 μB/cell
E_form (uncorrected) ... -2.81 eV per atom



# 18
Below is a crystal of La2AlSi relaxed with PBEsol, with properties calculated at the SCAN level.

Lattice parameters (Å, degrees): 3.489 5.149 6.231 90.00 90.00 90.00
Atoms (fractional coordinates):
La  0.000  0.000  0.000
La  0.500  0.500  0.500
Al  0.000  0.000  0.500
Si  0.500  0.500  0.000

Results
V ... 27.984 Å³ per atom
M_tot ... 0.00 μB/cell
E_form (uncorrected) ... -0.20 eV per atom



# 19
Below is a crystal of MgSc2Be relaxed with PBEsol, with properties calculated at the SCAN level.

Lattice parameters (Å, degrees): 3.173 3.173 7.561 90.00 90.00 90.00
Atoms (fractional coordinates):
Mg  0.000  0.000  0.000
Sc  0.500  0.500  0.301
Sc  0.500  0.500  0.699
Be  0.000  0.000  0.500

Results
Calculated formation energy ... -0.246 eV/f.u.
V ... 19.029 Å³ per atom
M_tot ... 0.05 μB/cell



# 20
Below is a crystal of AlGa2H relaxed with PBEsol, with properties calculated at the SCAN level.

Lattice parameters (Å, degrees): 4.341 4.341 4.341 60.00 60.00 60.00
Atoms (fractional coordinates):
Al  0.000  0.000  0.000
Ga  0.250  0.250  0.250
Ga  0.750  0.750  0.750
H  0.500  0.500  0.500

Results
V ... 14.461 Å³ per atom
M_tot ... 0.00 μB/cell
E_tot ... -42.044 eV for the cell shown